1.
First-principles (GGA-PBE) data for SiPC2 after structural relaxation, as listed in the Alexandria database.

The total energy is -5.2021 eV per atom. The value obtained for the energy relative to the lowest polymorph listed for this composition is 1.813 eV per atom. As for the formation energy (no corrections): 2.118 eV per atom. For the total magnetization, the calculation gives 0.0 Bohr magnetons per cell.

It has space group Fm-3m (No. 225), with a = 5.2986 Å, b = 5.2986 Å, c = 5.2986 Å, α = 90.00°, β = 90.00° and γ = 90.00°. The distinct sites, in fractional coordinates, are Si at (0.0000, 0.0000, 0.0000), P at (0.0000, 0.0000, 0.5000) and C at (0.2500, 0.2500, 0.2500).

=====

2.
First-principles (GGA-PBE) data for SiPC2 after structural relaxation, as listed in the Alexandria database.

The total energy is -6.9955 eV per atom. The value obtained for the energy relative to the lowest polymorph listed for this composition is 0.020 eV per atom. As for the formation energy (no corrections): 0.325 eV per atom. For the total magnetization, the calculation gives 0.0 Bohr magnetons per cell.

It has space group P-4m2 (No. 115), with a = 3.0687 Å, b = 3.0687 Å, c = 4.2791 Å, α = 90.00°, β = 90.00° and γ = 90.00°. The distinct sites, in fractional coordinates, are Si at (0.0000, 0.0000, 0.0000), P at (0.5000, 0.5000, 0.5000) and C at (0.0000, 0.5000, 0.2602).

=====

3.
First-principles (GGA-PBE) data for SiP3C after structural relaxation, as listed in the Alexandria database.

The total energy is -5.0123 eV per atom. The value obtained for the energy relative to the lowest polymorph listed for this composition is 0.000 eV per atom. As for the formation energy (no corrections): 1.163 eV per atom. For the total magnetization, the calculation gives 0.0 Bohr magnetons per cell.

It has space group Pm-3m (No. 221), with a = 4.0318 Å, b = 4.0318 Å, c = 4.0318 Å, α = 90.00°, β = 90.00° and γ = 90.00°. The distinct sites, in fractional coordinates, are Si at (0.0000, 0.0000, 0.0000), P at (0.0000, 0.5000, 0.5000) and C at (0.5000, 0.5000, 0.5000).

=====

4.
First-principles (GGA-PBE) data for SiPC2 after structural relaxation, as listed in the Alexandria database.

The total energy is -6.8860 eV per atom. The value obtained for the energy relative to the lowest polymorph listed for this composition is 0.129 eV per atom. As for the formation energy (no corrections): 0.434 eV per atom. For the total magnetization, the calculation gives 0.0 Bohr magnetons per cell.

It has space group P1 (No. 1), with a = 2.9771 Å, b = 3.0004 Å, c = 5.5199 Å, α = 80.51°, β = 74.90° and γ = 60.27°. The distinct sites, in fractional coordinates, are Si at (0.0000, 0.0000, 0.0000), P at (0.7290, 0.9597, 0.5957), C at (0.4748, 0.6263, 0.4327) and C at (0.6055, 0.6490, 0.1442).